This record from Alexandria via LeMat-Bulk describes a geometry-optimized Ba2YW3O7 structure. The functional is PBE with a Hubbard U.

a = 4.0935 Å, b = 4.2109 Å, c = 11.8647 Å
α = 90.00°, β = 90.00°, γ = 90.00°
Closest atoms and distances in Å follow each position.
Fractional coordinates of all 13 atoms:
1 Ba 0.5000 0.5000 0.3156  10 O 2.87-3.00
2 Ba 0.5000 0.5000 0.6844  10 O 2.87-3.00
3 Y 0.5000 0.5000 0.0000  8 O 2.58-2.77
4 W 0.0000 0.0000 0.1169  4 O 2.09-2.11
5 W 0.0000 0.0000 0.8831  4 O 2.09-2.11
6 W 0.0000 0.0000 0.5000  4 O 1.92-2.11
7 O 0.0000 0.5000 0.5000  2 W 2.11
8 O 0.5000 0.0000 0.1512  2 W 2.09
9 O 0.5000 0.0000 0.8488  2 W 2.09
10 O 0.0000 0.5000 0.1322  2 W 2.11
11 O 0.0000 0.5000 0.8678  2 W 2.11
12 O 0.0000 0.0000 0.3380  1 W 1.92
13 O 0.0000 0.0000 0.6620  1 W 1.92

Values from the calculation:
Space group = Pmmm (47)
Calculated total energy = -7.1089 eV/atom
Calculated volume = 15.73 Å³ per atom
Fermi-level density of states = 0.095 states/eV per atom
Crystal system = orthorhombic